First-principles (PBE) data for GaCoGe after structural relaxation, as listed in Alexandria via LeMat-Bulk.

Output
- E above lowest polymorph (meV/atom) = 91
- total moment (μB/cell) = 1.55
- energy relative to the elements (eV per atom) = -0.092
- calculated total energy (eV per cell) = -60.1

```
data_GaCoGe
_cell_length_a 2.851
_cell_length_b 2.851
_cell_length_c 21.373
_cell_angle_alpha 90.00
_cell_angle_beta 90.00
_cell_angle_gamma 90.00
_symmetry_space_group_name_H-M 'I 4/m m m'
_symmetry_Int_Tables_number 139
_symmetry_space_group_name_Hall '-I 4 2'
loop_
_atom_site_label
_atom_site_type_symbol
_atom_site_fract_x
_atom_site_fract_y
_atom_site_fract_z
_atom_site_occupancy
Ga1 Ga 0.000 0.000 0.199 1
Co1 Co 0.000 0.000 0.378 1
Ge1 Ge 0.000 0.000 0.059 1
```